# 1
Mg2ZrPb | PBE | relaxed

Results
Energy of formation from the pure elements = 0.00 eV per atom
M_tot = 0.00 μB per cell
Symmetry = No. 99
Raw total energy = -15.5 eV/cell

The structure in POSCAR format:
```
Mg2ZrPb
1.0
-0.270 -1.491 3.145
3.157 -1.433 -0.408
3.209 6.161 3.196
Mg Zr Pb
2 1 1
Cartesian
0.019 0.037 0.019
2.188 -0.032 2.110
3.912 3.279 3.827
1.580 3.034 1.574
```



# 2
SrNiGe | PBE | relaxed

Results
Energy of formation from the pure elements = -0.44 eV per atom
M_tot = 0.00 μB per cell
Symmetry = No. 187
Raw total energy = -13.4 eV/cell

The structure in POSCAR format:
```
SrNiGe
1.0
-1.280 -4.443 -0.428
3.890 -1.035 -0.888
-1.292 -0.005 3.915
Sr Ge Ni
1 1 1
Cartesian
-0.418 -3.310 2.028
-0.213 -0.740 -0.071
1.950 -1.432 0.642
```



# 3
Hf3TiNi2N | PBE | relaxed

Results
M_tot = 0.00 μB per cell
Symmetry = No. 71
Raw total energy = -62.6 eV/cell
Formation energy without anion corrections = -0.71 eV per atom

The structure in POSCAR format:
```
Hf3TiNi2N
1.0
-1.128 3.709 1.214
-4.119 -1.112 -0.429
2.535 -3.314 5.682
Ti Hf Ni N
1 3 2 1
Cartesian
-0.564 1.855 0.607
-0.032 -0.736 2.219
-2.059 -0.556 -0.214
-2.679 0.019 4.249
-2.646 0.780 1.955
-0.065 -1.497 4.513
0.000 0.000 0.000
```



# 4
KLaP | PBE | relaxed

Results
Energy of formation from the pure elements = -0.65 eV per atom
M_tot = 0.00 μB per cell
Symmetry = No. 156
Raw total energy = -13.4 eV/cell

The structure in POSCAR format:
```
KLaP
1.0
4.407 0.000 0.000
-2.204 3.817 0.000
0.000 0.000 7.716
K La P
1 1 1
Cartesian
0.000 0.000 7.034
2.204 1.272 3.600
0.000 2.545 4.797
```



# 5
P2RuW | PBE | relaxed

Results
Energy of formation from the pure elements = 0.11 eV per atom
M_tot = 0.00 μB per cell
Symmetry = No. 122
Raw total energy = -65.2 eV/cell

The structure in POSCAR format:
```
P2RuW
1.0
-1.451 -5.211 0.364
2.843 -1.104 -4.483
4.825 -4.108 0.793
W P Ru
2 4 2
Cartesian
0.000 0.000 0.000
2.035 -6.239 -0.451
4.801 -8.593 -2.953
0.673 -4.356 -0.139
2.783 -2.435 -2.553
4.177 -5.463 -1.007
0.696 -3.158 -2.060
4.182 -4.185 -2.875
```



# 6
Ac2YSn3Au4 | PBE | relaxed

Results
Energy of formation from the pure elements = -0.70 eV per atom
M_tot = 0.00 μB per cell
Symmetry = No. 115
Raw total energy = -46.7 eV/cell

The structure in POSCAR format:
```
Ac2YSn3Au4
1.0
4.725 0.000 0.000
0.000 4.725 0.000
0.000 0.000 11.921
Au Sn Y Ac
4 3 1 2
Cartesian
0.000 2.362 4.230
2.362 0.000 7.690
2.362 2.362 0.000
0.000 0.000 0.000
0.000 0.000 5.960
2.362 0.000 10.395
0.000 2.362 1.526
2.362 2.362 5.960
2.362 0.000 2.628
0.000 2.362 9.293
```



# 7
PmTmPbAu | PBE | relaxed

Results
Energy of formation from the pure elements = -0.59 eV per atom
M_tot = 0.71 μB per cell
Symmetry = No. 216
Raw total energy = -18.6 eV/cell

The structure in POSCAR format:
```
PmTmPbAu
1.0
-4.084 -2.312 2.457
-2.264 -4.304 -2.102
0.631 -4.723 2.315
Pm Tm Au Pb
1 1 1 1
Cartesian
-4.289 -8.504 2.003
-1.430 -2.835 0.668
0.000 0.000 0.000
-2.859 -5.669 1.335
```



# 8
K4Dy3ZrTe8 | PBE | relaxed

Results
M_tot = 0.76 μB per cell
Symmetry = No. 166
Raw total energy = -72.2 eV/cell
Formation energy without anion corrections = -1.27 eV per atom

The structure in POSCAR format:
```
K4Dy3ZrTe8
1.0
-0.146 0.817 8.807
7.881 -5.653 0.655
0.619 7.202 -5.100
Dy K Te Zr
3 4 8 1
Cartesian
4.177 1.183 2.181
4.250 0.774 -2.223
3.868 -2.418 4.731
-0.073 0.408 4.404
0.000 0.000 0.000
0.237 4.009 1.853
0.310 3.601 -2.550
2.218 -0.860 6.849
2.293 -1.281 2.310
2.537 2.852 4.220
6.061 3.646 2.052
2.565 2.368 -0.177
6.136 3.225 -2.487
5.817 -0.486 0.141
5.789 -0.003 4.539
3.940 -2.827 0.327
```



What is the formula in the fourth record? KLaP